LiSm4V4O12: optimized geometry, PBE with a Hubbard U.

The structure in POSCAR format:
```
LiSm4V4O12
1.0
5.406 0.000 0.000
-0.120 5.934 0.000
-0.004 -0.110 7.848
Li Sm V O
1 4 4 12
Direct
0.000 0.000 0.000
0.120 0.830 0.606
0.170 0.650 0.123
0.585 0.187 0.106
0.661 0.332 0.604
0.132 0.247 0.359
0.140 0.287 0.838
0.631 0.761 0.854
0.643 0.760 0.356
0.020 0.282 0.108
0.254 0.216 0.594
0.320 0.947 0.917
0.336 0.945 0.299
0.439 0.446 0.301
0.451 0.473 0.919
0.523 0.714 0.598
0.766 0.811 0.110
0.818 0.062 0.801
0.832 0.063 0.416
0.932 0.579 0.795
0.942 0.563 0.408
```

Output
As for the symmetry: P1 (1). The calculation puts the raw total energy at -7.89 eV per atom.